Record 1
Material: Mg3Tl8Pb2
Method: DFT, GGA-PBE
State: relaxed

Properties
Crystal system ... monoclinic

a = 4.958 Å, b = 10.089 Å, c = 9.522 Å
α = 121.99°, β = 89.95°, γ = 90.00°
Fractional positions:
Mg1 0.000 0.763 0.000
Tl1 0.500 0.139 0.760
Tl2 0.500 0.621 0.760
Pb1 0.499 0.250 0.501
Tl3 0.001 0.873 0.747
Tl4 0.001 0.609 0.219
Mg2 0.500 0.000 0.000
Tl5 0.999 0.127 0.253
Mg3 0.000 0.237 0.000
Tl6 0.999 0.391 0.781
Tl7 0.500 0.861 0.240
Pb2 0.501 0.750 0.499
Tl8 0.500 0.379 0.240


Record 2
Material: Mg7Tl4Pb
Method: DFT, GGA-PBE
State: relaxed

Properties
Crystal system ... trigonal
Energy relative to the lowest polymorph listed for this composition ... 0 meV per atom

a = 3.435 Å, b = 3.435 Å, c = 29.775 Å
α = 90.00°, β = 90.00°, γ = 120.00°
Fractional positions:
Mg1 0.000 0.000 0.000
Mg2 0.333 0.667 0.166
Tl1 0.667 0.333 0.333
Pb1 0.000 0.000 0.500
Mg3 0.667 0.333 0.834
Mg4 0.000 0.000 0.250
Tl2 0.667 0.333 0.083
Tl3 0.333 0.667 0.917
Tl4 0.333 0.667 0.667
Mg5 0.000 0.000 0.750
Mg6 0.667 0.333 0.585
Mg7 0.333 0.667 0.415


Record 3
Material: MgTl3Pb6
Method: DFT, GGA-PBE
State: relaxed

Properties
Crystal system ... monoclinic
Energy relative to the lowest polymorph listed for this composition ... 0 meV per atom

a = 3.520 Å, b = 14.157 Å, c = 12.696 Å
α = 104.72°, β = 90.00°, γ = 90.00°
Fractional positions:
Pb1 0.750 0.030 0.385
Pb2 0.750 0.376 0.806
Mg1 0.750 0.592 0.971
Pb3 0.250 0.777 0.925
Tl1 0.750 0.978 0.876
Pb4 0.750 0.823 0.163
Tl2 0.250 0.599 0.472
Tl3 0.750 0.401 0.528
Pb5 0.250 0.177 0.837
Tl4 0.250 0.022 0.124
Pb6 0.250 0.565 0.737
Pb7 0.250 0.970 0.615
Mg2 0.250 0.408 0.029
Pb8 0.750 0.435 0.263
Tl5 0.750 0.792 0.416
Tl6 0.250 0.208 0.584
Pb9 0.250 0.233 0.322
Pb10 0.750 0.223 0.075
Pb11 0.250 0.624 0.194
Pb12 0.750 0.767 0.678


no.,energy relative to the elements (eV/f.u.)
1,0.936
2,-0.088
3,0.048